Entry 1:
Crystalline Th4ReBi at its relaxed geometry, computed with PBE.

Properties
- Total moment: 0.00 μB/f.u.
- Formation enthalpy at 0 K: -0.22 eV/atom

Unit cell a=7.515 b=7.515 c=6.334 alpha=90.00 beta=90.00 gamma=90.00
Space group P4/mcc (No. 124)
Inequivalent atoms, fractional coordinates:
Th 0.137 0.315 0.000 (multiplicity 8)
Re 0.000 0.000 0.250 (multiplicity 2)
Bi 0.500 0.500 0.250 (multiplicity 2)

***

Entry 2:
Crystalline Th5Re2Bi at its relaxed geometry, computed with PBE.

Properties
- Total moment: 0.00 μB/f.u.
- Formation enthalpy at 0 K: -0.21 eV/atom

Unit cell a=8.146 b=8.146 c=13.707 alpha=90.00 beta=90.00 gamma=90.00
Space group I4/mcm (No. 140)
Inequivalent atoms, fractional coordinates:
Th 0.000 0.000 0.000 (multiplicity 4)
Th 0.156 0.344 0.132 (multiplicity 16)
Re 0.140 0.360 0.500 (multiplicity 8)
Bi 0.000 0.000 0.250 (multiplicity 4)

***

Entry 3:
Crystalline ThReBi at its relaxed geometry, computed with PBE.

Properties
- Total moment: 0.00 μB/f.u.
- Formation enthalpy at 0 K: 0.01 eV/atom

Unit cell a=15.633 b=4.166 c=5.253 alpha=90.00 beta=102.20 gamma=90.00
Space group C2/m (No. 12)
Inequivalent atoms, fractional coordinates:
Th 0.132 0.000 0.301 (multiplicity 4)
Re 0.229 0.000 0.879 (multiplicity 4)
Bi 0.087 0.500 0.768 (multiplicity 4)

***

Entry 4:
Crystalline Th7Re2Bi2 at its relaxed geometry, computed with PBE.

Properties
- Total moment: 0.00 μB/f.u.
- Formation enthalpy at 0 K: -0.20 eV/atom

Unit cell a=4.090 b=16.585 c=9.783 alpha=90.00 beta=90.00 gamma=90.00
Space group Imm2 (No. 44)
Inequivalent atoms, fractional coordinates:
Th 0.000 0.000 0.000 (multiplicity 2)
Th 0.000 0.137 0.419 (multiplicity 4)
Th 0.000 0.319 0.625 (multiplicity 4)
Th 0.000 0.349 0.261 (multiplicity 4)
Re 0.000 0.234 0.931 (multiplicity 4)
Bi 0.000 0.000 0.665 (multiplicity 2)
Bi 0.000 0.500 0.773 (multiplicity 2)

***

Entry 5:
Crystalline Ti8ReBi2 at its relaxed geometry, computed with PBE.

Properties
- Total moment: 0.20 μB/f.u.
- Formation enthalpy at 0 K: -0.09 eV/atom

Unit cell a=14.528 b=4.701 c=6.373 alpha=90.00 beta=110.84 gamma=90.00
Space group C2/m (No. 12)
Inequivalent atoms, fractional coordinates:
Ti 0.008 0.000 0.254 (multiplicity 4)
Ti 0.099 0.500 0.910 (multiplicity 4)
Ti 0.146 0.500 0.389 (multiplicity 4)
Ti 0.162 0.000 0.669 (multiplicity 4)
Re 0.000 0.500 0.500 (multiplicity 2)
Bi 0.194 0.000 0.171 (multiplicity 4)

***

Entry 6:
Crystalline Ti3ReBi at its relaxed geometry, computed with PBE.

Properties
- Energy relative to the lowest polymorph listed for this composition: 0 meV/atom
- Total moment: 0.94 μB/f.u.
- Formation enthalpy at 0 K: 0.43 eV/atom

Unit cell a=4.801 b=4.801 c=4.801 alpha=90.00 beta=90.00 gamma=90.00
Space group Pm-3m (No. 221)
Inequivalent atoms, fractional coordinates:
Ti 0.000 0.000 0.500 (multiplicity 3)
Re 0.000 0.000 0.000 (multiplicity 1)
Bi 0.500 0.500 0.500 (multiplicity 1)

***

Entry 7:
Crystalline TiReBi3 at its relaxed geometry, computed with PBE.

Properties
- Energy relative to the lowest polymorph listed for this composition: 176 meV/atom
- Total moment: 4.43 μB/f.u.
- Formation enthalpy at 0 K: 1.31 eV/atom

Unit cell a=5.351 b=5.351 c=5.351 alpha=90.00 beta=90.00 gamma=90.00
Space group Pm-3m (No. 221)
Inequivalent atoms, fractional coordinates:
Ti 0.000 0.000 0.000 (multiplicity 1)
Re 0.500 0.500 0.500 (multiplicity 1)
Bi 0.000 0.000 0.500 (multiplicity 3)

***

Entry 8:
Crystalline TiRe2Bi at its relaxed geometry, computed with PBE.

Properties
- Total moment: 0.00 μB/f.u.
- Formation enthalpy at 0 K: 0.76 eV/atom

Unit cell a=4.035 b=4.035 c=19.547 alpha=90.00 beta=90.00 gamma=90.00
Space group I-42d (No. 122)
Inequivalent atoms, fractional coordinates:
Ti 0.000 0.000 0.000 (multiplicity 4)
Re 0.175 0.250 0.125 (multiplicity 8)
Bi 0.000 0.000 0.500 (multiplicity 4)

***

Entry 9:
Crystalline TiReBi3 at its relaxed geometry, computed with PBE.

Properties
- Energy relative to the lowest polymorph listed for this composition: 0 meV/atom
- Total moment: 2.73 μB/f.u.
- Formation enthalpy at 0 K: 1.13 eV/atom

Unit cell a=5.351 b=5.351 c=5.351 alpha=90.00 beta=90.00 gamma=90.00
Space group Pm-3m (No. 221)
Inequivalent atoms, fractional coordinates:
Ti 0.000 0.000 0.000 (multiplicity 1)
Re 0.500 0.500 0.500 (multiplicity 1)
Bi 0.000 0.500 0.500 (multiplicity 3)

***

Entry 10:
Crystalline TlReBi2 at its relaxed geometry, computed with PBE.

Properties
- Energy relative to the lowest polymorph listed for this composition: 28 meV/atom
- Total moment: 0.65 μB/f.u.
- Formation enthalpy at 0 K: 0.93 eV/atom

Unit cell a=7.312 b=7.312 c=7.312 alpha=90.00 beta=90.00 gamma=90.00
Space group Fm-3m (No. 225)
Inequivalent atoms, fractional coordinates:
Tl 0.000 0.000 0.000 (multiplicity 4)
Re 0.000 0.000 0.500 (multiplicity 4)
Bi 0.250 0.250 0.250 (multiplicity 8)

***

Entry 11:
Crystalline TlReBi2 at its relaxed geometry, computed with PBE.

Properties
- Energy relative to the lowest polymorph listed for this composition: 0 meV/atom
- Total moment: 0.00 μB/f.u.
- Formation enthalpy at 0 K: 0.90 eV/atom

Unit cell a=6.836 b=6.836 c=13.184 alpha=90.00 beta=90.00 gamma=90.00
Space group I-42d (No. 122)
Inequivalent atoms, fractional coordinates:
Tl 0.000 0.000 0.000 (multiplicity 4)
Re 0.000 0.000 0.500 (multiplicity 4)
Bi 0.167 0.250 0.625 (multiplicity 8)

***

Entry 12:
Crystalline TlReBi3 at its relaxed geometry, computed with PBE.

Properties
- Energy relative to the lowest polymorph listed for this composition: 0 meV/atom
- Total moment: 0.00 μB/f.u.
- Formation enthalpy at 0 K: 0.67 eV/atom

Unit cell a=5.417 b=5.417 c=5.417 alpha=90.00 beta=90.00 gamma=90.00
Space group Pm-3m (No. 221)
Inequivalent atoms, fractional coordinates:
Tl 0.000 0.000 0.000 (multiplicity 1)
Re 0.500 0.500 0.500 (multiplicity 1)
Bi 0.000 0.500 0.500 (multiplicity 3)